DFT (GGA+U) results for a relaxed LiVSi3O8 crystal.

- relative energy among the computed polymorphs (meV per atom) = 374
- VASP energy (eV/atom) = -7.195
- crystal system = triclinic
- D(E_F) (states/eV/f.u.) = 0.00
- theoretical density (Mg/m³) = 1.4

Lattice parameters (Å, degrees): 8.4629 10.5368 7.8175 116.82 95.68 87.63
Last column: nearest neighbours and their distance in Å.
Sites, in units of the cell vectors:
O  0.8939  0.2385  0.9223  1 V 1.65
O  0.6828  0.5149  0.2734  2 Si 1.65-1.67
O  0.0026  0.5086  0.7674  1 Si 1.65, 1 V 1.79
O  0.3172  0.4851  0.7266  2 Si 1.65-1.67
O  0.8733  0.7372  0.4838  2 Si 1.63-1.70
O  0.8431  0.7742  0.8399  1 Si 1.70, 1 V 1.75
O  0.6040  0.4486  0.5637  2 Si 1.69-1.70
O  0.6615  0.9348  0.7071  1 Si 1.57
O  0.1569  0.2258  0.1601  1 Si 1.70, 1 V 1.75
O  0.8199  0.6456  0.0987  1 Si 1.65, 1 V 1.80
O  0.1061  0.7615  0.0777  1 V 1.65
O  0.3960  0.5514  0.4363  2 Si 1.69-1.70
O  0.9974  0.4914  0.2326  1 Si 1.65, 1 V 1.79
O  0.1267  0.2628  0.5162  2 Si 1.63-1.70
O  0.1801  0.3544  0.9013  1 Si 1.65, 1 V 1.80
O  0.3385  0.0652  0.2929  1 Si 1.57
V  0.0557  0.3231  0.0519  4 O 1.65-1.80
V  0.9443  0.6769  0.9481  4 O 1.65-1.80
Si  0.5948  0.5712  0.4777  3 O 1.67-1.70
Si  0.4052  0.4288  0.5223  3 O 1.67-1.70
Si  0.1569  0.4008  0.7255  4 O 1.63-1.65
Si  0.8431  0.5992  0.2745  4 O 1.63-1.65
Si  0.2605  0.2146  0.3501  3 O 1.57-1.70
Si  0.7395  0.7854  0.6499  3 O 1.57-1.70
Li  0.2833  0.8845  0.1961  2 O 1.77-1.89
Li  0.7167  0.1155  0.8039  2 O 1.77-1.89